# LaErTl2Se4

A relaxed LaErTl2Se4 crystal (PBE, Alexandria via LeMat-Bulk).

Geometry as CIF:
```
data_LaErTl2Se4
_chemical_formula_sum 'La1 Er1 Tl2 Se4'
_cell_length_a 7.435
_cell_length_b 4.287
_cell_length_c 8.124
_cell_angle_alpha 90.00
_cell_angle_beta 107.68
_cell_angle_gamma 90.00
_symmetry_space_group_name_H-M 'P 1 2/m 1'
_symmetry_Int_Tables_number 10
_symmetry_space_group_name_Hall '-P 2y'
loop_
_atom_site_label
_atom_site_type_symbol
_atom_site_fract_x
_atom_site_fract_y
_atom_site_fract_z
La1 La 0.000 0.000 0.000
Er1 Er 0.500 0.500 0.000
Tl1 Tl 0.000 0.500 0.500
Tl2 Tl 0.500 0.000 0.500
Se1 Se 0.249 0.500 0.209
Se2 Se 0.277 0.000 0.796
```

Properties
The total magnetic moment comes out at 0.0 μB/cell. As for the formation energy from raw total energies: -11.28 eV/f.u.